Record 1
First-principles (PBE) data for a geometry-optimized GdAlPdPt structure, as listed in OQMD.

Computed properties:
space group = P-6m2 (187)
raw total energy = -47.8 eV/cell

Cell: 4.3583 4.3583 9.3235 Å, 90.00 90.00 120.00°
Atoms (fractional coordinates):
1 Al 0.0000 0.0000 0.2441
2 Al 0.0000 0.0000 0.7559
3 Gd 0.3333 0.6667 0.0000
4 Gd 0.6667 0.3333 0.5000
5 Pd 0.3333 0.6667 0.3336
6 Pd 0.3333 0.6667 0.6664
7 Pt 0.6667 0.3333 0.1750
8 Pt 0.6667 0.3333 0.8250


Record 2
First-principles (PBE) data for a geometry-optimized HgGeMo structure, as listed in OQMD.

Computed properties:
space group = F-43m (216)
raw total energy = -13.6 eV/cell

Cell: 4.3511 4.3511 4.3511 Å, 60.00 60.00 60.00°
Atoms (fractional coordinates):
1 Ge 0.0000 0.0000 0.0000
2 Hg 0.2500 0.2500 0.2500
3 Mo 0.7500 0.7500 0.7500


Record 3
First-principles (PBE) data for a geometry-optimized NdAg2BiSe2O2 structure, as listed in OQMD.

Computed properties:
space group = P4mm (99)
raw total energy = -41.5 eV/cell

Cell: 4.0473 4.0473 9.4096 Å, 90.00 90.00 90.00°
Atoms (fractional coordinates):
1 Ag 0.5000 0.0000 0.4994
2 Ag 0.0000 0.5000 0.4994
3 Bi 0.0000 0.0000 0.1269
4 Nd 0.5000 0.5000 0.8691
5 O 0.5000 0.0000 0.9994
6 O 0.0000 0.5000 0.9994
7 Se 0.5000 0.5000 0.3005
8 Se 0.0000 0.0000 0.7060


Among the records above, which one has the lowest raw total energy? GdAlPdPt


Among the records above, which one has the highest raw total energy? HgGeMo


Number 2 is which compound? HgGeMo


Among the records above, which one has the highest raw total energy? HgGeMo